Record 1
Below is Pr8DyCd2 after structural relaxation, with properties calculated at the GGA-PBE level.

a b c (Å): 17.265 5.440 8.566
angles (deg): 90.00 114.10 90.00
Space group C2/m (No. 12)
Asymmetric unit:
Pr: 0.052 0.000 0.240
Pr: 0.103 0.500 0.968
Pr: 0.148 0.000 0.705
Pr: 0.187 0.500 0.455
Dy: 0.000 0.500 0.500
Cd: 0.222 0.000 0.132

Summary:
**Total magnetic moment**: 0.00 μB/f.u.
**ΔH_f (0 K)**: -0.07 eV/atom


Record 2
Below is Pr3DyCd4 after structural relaxation, with properties calculated at the GGA-PBE level.

a b c (Å): 3.827 3.827 15.567
angles (deg): 90.00 90.00 90.00
Space group P4/mmm (No. 123)
Asymmetric unit:
Pr: 0.000 0.000 0.000
Pr: 0.000 0.000 0.256
Dy: 0.000 0.000 0.500
Cd: 0.500 0.500 0.127
Cd: 0.500 0.500 0.386

Summary:
**Total magnetic moment**: 1.47 μB/f.u.
**ΔH_f (0 K)**: -0.31 eV/atom


Record 3
Below is PrDy7Cd4 after structural relaxation, with properties calculated at the GGA-PBE level.

a b c (Å): 14.734 5.734 9.741
angles (deg): 90.00 122.03 90.00
Space group C2/m (No. 12)
Asymmetric unit:
Pr: 0.000 0.000 0.000
Dy: 0.000 0.500 0.000
Dy: 0.071 0.000 0.413
Dy: 0.205 0.000 0.880
Dy: 0.236 0.500 0.691
Cd: 0.041 0.500 0.712
Cd: 0.182 0.500 0.341

Summary:
**Total magnetic moment**: 0.00 μB/f.u.
**ΔH_f (0 K)**: 0.00 eV/atom


Record 4
Below is Pr8DyCd6 after structural relaxation, with properties calculated at the GGA-PBE level.

a b c (Å): 9.2291 9.2291 19.8084
angles (deg): 90.00 90.00 120.00
Space group R-3 (No. 148, hexagonal axes)
Asymmetric unit:
Pr: 0.0000 0.0000 0.1654
Pr: 0.0019 0.6636 0.3822
Dy: 0.0000 0.0000 0.5000
Cd: 0.0002 0.3257 0.4513

Summary:
**Total magnetic moment**: 0.10 μB/f.u.
**ΔH_f (0 K)**: -0.10 eV/atom


Record 5
Below is Pr2DyCd4 after structural relaxation, with properties calculated at the GGA-PBE level.

a b c (Å): 5.3255 5.3255 26.0998
angles (deg): 90.00 90.00 120.00
Space group R-3m (No. 166, hexagonal axes)
Asymmetric unit:
Pr: 0.0000 0.0000 0.2493
Dy: 0.0000 0.0000 0.0000
Cd: 0.0000 0.0000 0.1252
Cd: 0.0000 0.0000 0.3768

Summary:
**Total magnetic moment**: 0.00 μB/f.u.
**ΔH_f (0 K)**: -0.13 eV/atom


Record 6
Below is PrDyCd6 after structural relaxation, with properties calculated at the GGA-PBE level.

a b c (Å): 4.931 7.190 11.137
angles (deg): 90.00 90.00 90.00
Space group Amm2 (No. 38)
Asymmetric unit:
Pr: 0.000 0.000 0.000
Dy: 0.500 0.000 0.721
Cd: 0.000 0.000 0.535
Cd: 0.000 0.218 0.267
Cd: 0.500 0.000 0.192
Cd: 0.500 0.213 0.452

Summary:
**Total magnetic moment**: 0.00 μB/f.u.
**ΔH_f (0 K)**: -0.29 eV/atom


Record 7
Below is PrDy2Cd after structural relaxation, with properties calculated at the GGA-PBE level.

a b c (Å): 3.6159 3.6159 32.6167
angles (deg): 90.00 90.00 120.00
Space group R-3m (No. 166, hexagonal axes)
Asymmetric unit:
Pr: 0.0000 0.0000 0.0000
Dy: 0.0000 0.0000 0.2428
Cd: 0.0000 0.0000 0.5000

Summary:
**Total magnetic moment**: 0.00 μB/f.u.
**ΔH_f (0 K)**: -0.08 eV/atom


Record 8
Below is Pr4Dy3Cd after structural relaxation, with properties calculated at the GGA-PBE level.

a b c (Å): 4.162 4.162 15.057
angles (deg): 90.00 90.00 90.00
Space group P4/mmm (No. 123)
Asymmetric unit:
Pr: 0.000 0.000 0.117
Pr: 0.000 0.000 0.377
Dy: 0.500 0.500 0.250
Dy: 0.500 0.500 0.500
Cd: 0.500 0.500 0.000

Summary:
**Total magnetic moment**: 0.00 μB/f.u.
**ΔH_f (0 K)**: 0.01 eV/atom


Record 9
Below is PrDy2Cd after structural relaxation, with properties calculated at the GGA-PBE level.

a b c (Å): 3.806 5.559 11.513
angles (deg): 90.00 90.00 90.00
Space group Immm (No. 71)
Asymmetric unit:
Pr: 0.000 0.000 0.000
Dy: 0.000 0.500 0.224
Cd: 0.000 0.000 0.500

Summary:
**Total magnetic moment**: 0.00 μB/f.u.
**ΔH_f (0 K)**: -0.15 eV/atom


Record 10
Below is Pr12Dy7Cd after structural relaxation, with properties calculated at the GGA-PBE level.

a b c (Å): 11.564 11.564 11.564
angles (deg): 90.00 90.00 90.00
Space group Im-3 (No. 204)
Asymmetric unit:
Pr: 0.000 0.273 0.212
Dy: 0.000 0.000 0.500
Dy: 0.250 0.250 0.250
Cd: 0.000 0.000 0.000

Summary:
**Total magnetic moment**: 0.00 μB/f.u.
**ΔH_f (0 K)**: 0.67 eV/atom


Record 11
Below is Pr3Dy12Cd after structural relaxation, with properties calculated at the GGA-PBE level.

a b c (Å): 5.005 5.005 20.184
angles (deg): 90.00 90.00 90.00
Space group P4/mmm (No. 123)
Asymmetric unit:
Pr: 0.000 0.000 0.000
Pr: 0.000 0.000 0.253
Dy: 0.000 0.500 0.127
Dy: 0.000 0.500 0.381
Dy: 0.500 0.500 0.000
Dy: 0.500 0.500 0.257
Dy: 0.500 0.500 0.500
Cd: 0.000 0.000 0.500

Summary:
**Total magnetic moment**: 0.00 μB/f.u.
**ΔH_f (0 K)**: 0.00 eV/atom


Record 12
Below is Pr6Dy8Cd after structural relaxation, with properties calculated at the GGA-PBE level.

a b c (Å): 9.5533 9.5533 6.3557
angles (deg): 90.00 90.00 120.00
Space group P-3 (No. 147)
Asymmetric unit:
Pr: 0.0902 0.4529 0.1904
Dy: 0.0414 0.2606 0.6926
Dy: 0.3333 0.6667 0.6809
Cd: 0.0000 0.0000 0.0000

Summary:
**Total magnetic moment**: 0.00 μB/f.u.
**ΔH_f (0 K)**: 0.08 eV/atom


Ρ per entry: 6.85; 7.54; 8.23; 6.70; 6.95; 8.22; 7.80; 7.41; 7.88; 6.32; 8.16; 7.46 g cm⁻³
DFT total energy per entry: -4.134; -3.140; -3.385; -3.318; -2.680; -2.149; -3.804; -4.219; -3.871; -3.858; -4.404; -4.350 eV/atom